[1]
This record from Alexandria via LeMat-Bulk describes crystalline AcPr2Ho3 at its relaxed geometry. The functional is PBE.

Energy above the lowest structure with this stoichiometry: 0 meV per atom
Volume: 35.6 A^3/atom
Total magnetic moment: 0.00 μB per cell

a b c (Å): 6.7222 7.9693 7.9693
angles (deg): 92.16 90.00 90.00
Sites, in units of the cell vectors:
1 Ac 0.7500 0.8849 0.8849
2 Ac 0.2500 0.1151 0.1151
3 Pr 0.7500 0.3994 0.1028
4 Pr 0.2500 0.6006 0.8972
5 Pr 0.2500 0.8972 0.6006
6 Pr 0.7500 0.1028 0.3994
7 Ho 0.2500 0.4356 0.4356
8 Ho 0.7500 0.5644 0.5644
9 Ho 0.5000 0.2551 0.7449
10 Ho 0.0000 0.2551 0.7449
11 Ho 0.5000 0.7449 0.2551
12 Ho 0.0000 0.7449 0.2551

[2]
This record from Alexandria via LeMat-Bulk describes crystalline AcPr6Ho3 at its relaxed geometry. The functional is PBE.

Energy above the lowest structure with this stoichiometry: 0 meV per atom
Volume: 35.5 A^3/atom
Total magnetic moment: 0.00 μB per cell

a b c (Å): 3.6650 14.4401 13.5744
angles (deg): 81.61 90.00 90.00
Sites, in units of the cell vectors:
1 Ac 0.2500 0.3800 0.8386
2 Ac 0.7500 0.6200 0.1614
3 Pr 0.2500 0.4032 0.5713
4 Pr 0.7500 0.5968 0.4287
5 Pr 0.2500 0.8109 0.0164
6 Pr 0.7500 0.1891 0.9836
7 Pr 0.2500 0.7830 0.5479
8 Pr 0.7500 0.2170 0.4521
9 Pr 0.2500 0.8071 0.2850
10 Pr 0.7500 0.1929 0.7150
11 Pr 0.2500 0.6039 0.9170
12 Pr 0.7500 0.3961 0.0830
13 Pr 0.2500 0.1752 0.2245
14 Pr 0.7500 0.8248 0.7755
15 Ho 0.2500 0.0160 0.6097
16 Ho 0.7500 0.9840 0.3903
17 Ho 0.2500 0.4157 0.3113
18 Ho 0.7500 0.5843 0.6887
19 Ho 0.2500 0.0194 0.8744
20 Ho 0.7500 0.9806 0.1256

[3]
This record from Alexandria via LeMat-Bulk describes crystalline Ac2Pr4Ho7 at its relaxed geometry. The functional is PBE.

E_tot: -0.322 Ry/atom
Volume: 35.3 A^3/atom
Total magnetic moment: 0.00 μB per cell

a b c (Å): 6.2318 6.2318 13.6496
angles (deg): 90.00 90.00 120.00
Sites, in units of the cell vectors:
1 Ac 0.6667 0.3333 0.0000
2 Ac 0.3333 0.6667 0.0000
3 Pr 0.0000 0.0000 0.6074
4 Pr 0.0000 0.0000 0.3926
5 Pr 0.6667 0.3333 0.5000
6 Pr 0.3333 0.6667 0.5000
7 Ho 0.0000 0.3513 0.7848
8 Ho 0.0000 0.6487 0.2152
9 Ho 0.0000 0.0000 0.0000
10 Ho 0.3513 0.0000 0.7848
11 Ho 0.6487 0.0000 0.2152
12 Ho 0.3513 0.3513 0.2152
13 Ho 0.6487 0.6487 0.7848

[4]
This record from Alexandria via LeMat-Bulk describes crystalline AcPr3Ho4 at its relaxed geometry. The functional is PBE.

E_tot: -0.326 Ry/atom
Volume: 34.8 A^3/atom
Total magnetic moment: 0.00 μB per cell

a b c (Å): 3.5077 9.1176 9.1176
angles (deg): 81.03 78.91 78.91
Sites, in units of the cell vectors:
1 Pr 0.7567 0.2433 0.2433
2 Pr 0.2433 0.7567 0.7567
3 Pr 0.0000 0.5000 0.5000
4 Ac 0.5000 0.0000 0.0000
5 Ho 0.6364 0.1168 0.6103
6 Ho 0.3636 0.8832 0.3897
7 Ho 0.3636 0.3897 0.8832
8 Ho 0.6364 0.6103 0.1168

[5]
This record from Alexandria via LeMat-Bulk describes crystalline AcPr14Ho at its relaxed geometry. The functional is PBE.

E_tot: -0.346 Ry/atom
Volume: 36.3 A^3/atom
Total magnetic moment: 0.00 μB per cell

a b c (Å): 7.4288 7.4288 10.5351
angles (deg): 90.00 90.00 90.02
Sites, in units of the cell vectors:
1 Ac 0.3748 0.6252 0.0000
2 Pr 0.3750 0.6250 0.5000
3 Pr 0.8751 0.1249 0.5000
4 Pr 0.8748 0.6249 0.0000
5 Pr 0.8750 0.6249 0.5000
6 Pr 0.3751 0.1252 0.0000
7 Pr 0.3751 0.1250 0.5000
8 Pr 0.6284 0.8784 0.7496
9 Pr 0.6284 0.8784 0.2504
10 Pr 0.1216 0.3716 0.7496
11 Pr 0.1216 0.3716 0.2504
12 Pr 0.1215 0.8785 0.7496
13 Pr 0.1215 0.8785 0.2504
14 Pr 0.6285 0.3715 0.7496
15 Pr 0.6285 0.3715 0.2504
16 Ho 0.8751 0.1249 0.0000

[6]
This record from Alexandria via LeMat-Bulk describes crystalline AcPr2Ho2 at its relaxed geometry. The functional is PBE.

Energy above the lowest structure with this stoichiometry: 0 meV per atom
Volume: 35.7 A^3/atom
Total magnetic moment: 0.00 μB per cell

a b c (Å): 3.7134 3.7134 13.2205
angles (deg): 98.07 98.07 90.00
Sites, in units of the cell vectors:
1 Ac 0.0000 0.0000 0.0000
2 Pr 0.6081 0.6081 0.2162
3 Pr 0.3919 0.3919 0.7838
4 Ho 0.7958 0.7958 0.5917
5 Ho 0.2042 0.2042 0.4083

[7]
This record from Alexandria via LeMat-Bulk describes crystalline Ac2Pr7Ho at its relaxed geometry. The functional is PBE.

E_tot: -0.327 Ry/atom
Volume: 37.6 A^3/atom
Total magnetic moment: 0.00 μB per cell

a b c (Å): 3.5894 15.6863 15.6843
angles (deg): 154.80 90.00 90.00
Sites, in units of the cell vectors:
1 Ac 0.5000 0.7931 0.2074
2 Ac 0.5000 0.2069 0.7926
3 Pr 0.0000 0.6847 0.3149
4 Pr 0.0000 0.3153 0.6851
5 Pr 0.5000 0.1449 0.3375
6 Pr 0.5000 0.8551 0.6625
7 Pr 0.5000 0.3373 0.1446
8 Pr 0.5000 0.6627 0.8554
9 Pr 0.5000 0.5000 0.5000
10 Ho 0.0000 0.0000 0.0000

[8]
This record from Alexandria via LeMat-Bulk describes crystalline AcPr6Ho8 at its relaxed geometry. The functional is PBE.

Energy above the lowest structure with this stoichiometry: 0 meV per atom
Volume: 34.5 A^3/atom
Total magnetic moment: 0.00 μB per cell

a b c (Å): 9.3757 9.3757 8.6825
angles (deg): 57.32 57.32 60.00
Sites, in units of the cell vectors:
1 Ac 0.0000 0.0000 0.0000
2 Pr 0.4507 0.8938 0.9231
3 Pr 0.1062 0.2675 0.0769
4 Pr 0.2675 0.5493 0.0769
5 Pr 0.7325 0.4507 0.9231
6 Pr 0.8938 0.7325 0.9231
7 Pr 0.5493 0.1062 0.0769
8 Ho 0.3539 0.2260 0.5042
9 Ho 0.7740 0.0841 0.4958
10 Ho 0.0841 0.6461 0.4958
11 Ho 0.5699 0.5699 0.2903
12 Ho 0.4301 0.4301 0.7097
13 Ho 0.9159 0.3539 0.5042
14 Ho 0.2260 0.9159 0.5042
15 Ho 0.6461 0.7740 0.4958

Copy entry 8 word for word.
This record from Alexandria via LeMat-Bulk describes crystalline AcPr6Ho8 at its relaxed geometry. The functional is PBE.

Energy above the lowest structure with this stoichiometry: 0 meV per atom
Volume: 34.5 A^3/atom
Total magnetic moment: 0.00 μB per cell

a b c (Å): 9.3757 9.3757 8.6825
angles (deg): 57.32 57.32 60.00
Sites, in units of the cell vectors:
1 Ac 0.0000 0.0000 0.0000
2 Pr 0.4507 0.8938 0.9231
3 Pr 0.1062 0.2675 0.0769
4 Pr 0.2675 0.5493 0.0769
5 Pr 0.7325 0.4507 0.9231
6 Pr 0.8938 0.7325 0.9231
7 Pr 0.5493 0.1062 0.0769
8 Ho 0.3539 0.2260 0.5042
9 Ho 0.7740 0.0841 0.4958
10 Ho 0.0841 0.6461 0.4958
11 Ho 0.5699 0.5699 0.2903
12 Ho 0.4301 0.4301 0.7097
13 Ho 0.9159 0.3539 0.5042
14 Ho 0.2260 0.9159 0.5042
15 Ho 0.6461 0.7740 0.4958

Repeat the third record exactly.
This record from Alexandria via LeMat-Bulk describes crystalline Ac2Pr4Ho7 at its relaxed geometry. The functional is PBE.

E_tot: -0.322 Ry/atom
Volume: 35.3 A^3/atom
Total magnetic moment: 0.00 μB per cell

a b c (Å): 6.2318 6.2318 13.6496
angles (deg): 90.00 90.00 120.00
Sites, in units of the cell vectors:
1 Ac 0.6667 0.3333 0.0000
2 Ac 0.3333 0.6667 0.0000
3 Pr 0.0000 0.0000 0.6074
4 Pr 0.0000 0.0000 0.3926
5 Pr 0.6667 0.3333 0.5000
6 Pr 0.3333 0.6667 0.5000
7 Ho 0.0000 0.3513 0.7848
8 Ho 0.0000 0.6487 0.2152
9 Ho 0.0000 0.0000 0.0000
10 Ho 0.3513 0.0000 0.7848
11 Ho 0.6487 0.0000 0.2152
12 Ho 0.3513 0.3513 0.2152
13 Ho 0.6487 0.6487 0.7848